# K2MoO4 | Alexandria | GGA+U | optimized geometry
# size of the total moment = 0.0 μB/f.u.
# VASP energy = -6.054 eV per atom
# DOS(E_F) = 0.000 states/eV/atom
data_K2MoO4
_chemical_formula_sum 'K8 Mo4 O16'
_cell_length_a 12.528
_cell_length_b 6.237
_cell_length_c 7.673
_cell_angle_alpha 90.00
_cell_angle_beta 115.97
_cell_angle_gamma 90.00
_space_group_name_H-M_alt 'C 1 2/m 1'
_space_group_IT_number 12
_space_group_name_Hall '-C 2y'
loop_
_atom_site_label
_atom_site_fract_x
_atom_site_fract_y
_atom_site_fract_z
K1 0.010 0.000 0.235
K2 0.156 0.500 0.750
Mo1 0.177 0.500 0.229
O1 0.091 0.500 0.365
O2 0.143 0.264 0.079
O3 0.166 0.000 0.617